(1)
The following is a DFT calculation (GGA-PBEsol) of an optimized crystal structure of LiCa2Rh.

Structure (POSCAR):
```
LiCa2Rh
1.0
4.2697 0.0000 0.0000
0.0000 4.0580 0.0000
0.0000 0.0000 10.7440
Li Ca Rh
2 4 2
Direct
0.0000 0.0000 0.0000
0.0000 0.5000 0.5000
0.0000 0.0000 0.6940
0.0000 0.5000 0.1940
0.5000 0.0000 0.4151
0.5000 0.5000 0.9151
0.5000 0.0000 0.1216
0.5000 0.5000 0.6216
```

Properties
- E_tot (eV/atom) = -3.731
- DOS at the Fermi energy (states/eV/cell) = 4.4

(2)
The following is a DFT calculation (GGA-PBEsol) of an optimized crystal structure of LiCaRu.

Structure (POSCAR):
```
LiCaRu
1.0
6.1752 0.0000 0.0000
0.0000 6.1752 0.0000
0.0000 0.0000 6.1752
Li Ca Ru
4 4 4
Direct
0.0000 0.0000 0.0000
0.0000 0.5000 0.5000
0.5000 0.0000 0.5000
0.5000 0.5000 0.0000
0.2500 0.2500 0.7500
0.2500 0.7500 0.2500
0.7500 0.2500 0.2500
0.7500 0.7500 0.7500
0.2500 0.2500 0.2500
0.2500 0.7500 0.7500
0.7500 0.2500 0.7500
0.7500 0.7500 0.2500
```

Properties
- E_tot (eV/atom) = -3.896
- DOS at the Fermi energy (states/eV/cell) = 10.6

(3)
The following is a DFT calculation (GGA-PBEsol) of an optimized crystal structure of Li2CaS2.

Structure (POSCAR):
```
Li2CaS2
1.0
7.2481 0.0000 0.0000
0.0000 7.2481 0.0000
0.0000 0.0000 3.5805
Li Ca S
4 2 4
Direct
0.1281 0.3719 0.0000
0.3719 0.8719 0.0000
0.6281 0.1281 0.0000
0.8719 0.6281 0.0000
0.0000 0.0000 0.5000
0.5000 0.5000 0.5000
0.1757 0.6757 0.5000
0.3243 0.1757 0.5000
0.6757 0.8243 0.5000
0.8243 0.3243 0.5000
```

Properties
- E_tot (eV/atom) = -4.210
- energy relative to the elements, uncorrected (eV per atom) = -1.243

(4)
The following is a DFT calculation (GGA-PBEsol) of an optimized crystal structure of LiCa2S2.

Structure (POSCAR):
```
LiCa2S2
1.0
7.3684 0.0000 0.0000
0.0000 7.3684 0.0000
0.0000 0.0000 3.7534
Li Ca S
2 4 4
Direct
0.0000 0.0000 0.0000
0.5000 0.5000 0.0000
0.1526 0.3474 0.5000
0.3474 0.8474 0.5000
0.6526 0.1526 0.5000
0.8474 0.6526 0.5000
0.1582 0.6582 0.0000
0.3418 0.1582 0.0000
0.6582 0.8418 0.0000
0.8418 0.3418 0.0000
```

Properties
- E_tot (eV/atom) = -4.572
- energy relative to the elements, uncorrected (eV per atom) = -1.572
- DOS at the Fermi energy (states/eV/cell) = 1.6

(5)
The following is a DFT calculation (GGA-PBEsol) of an optimized crystal structure of Li2CaSb.

Structure (POSCAR):
```
Li2CaSb
1.0
3.5206 0.0000 0.0000
0.0000 4.2223 0.0000
0.0000 0.0000 6.4226
Li Ca Sb
2 1 1
Direct
0.0000 0.0000 0.2001
0.0000 0.0000 0.7999
0.5000 0.5000 0.5000
0.5000 0.5000 0.0000
```

Properties
- E_tot (eV/atom) = -3.024
- energy relative to the elements, uncorrected (eV per atom) = -0.368
- DOS at the Fermi energy (states/eV/cell) = 2.3

(6)
The following is a DFT calculation (GGA-PBEsol) of an optimized crystal structure of LiCa2Sb.

Structure (POSCAR):
```
LiCa2Sb
1.0
4.6135 0.0000 0.0000
-2.3067 3.9954 0.0000
0.0000 0.0000 23.0357
Li Ca Sb
3 6 3
Direct
0.0000 0.0000 0.0000
0.3333 0.6667 0.6667
0.6667 0.3333 0.3333
0.0000 0.0000 0.2330
0.0000 0.0000 0.7670
0.3333 0.6667 0.4336
0.3333 0.6667 0.8997
0.6667 0.3333 0.1003
0.6667 0.3333 0.5664
0.0000 0.0000 0.5000
0.3333 0.6667 0.1667
0.6667 0.3333 0.8333
```

Properties
- E_tot (eV/atom) = -3.106
- energy relative to the elements, uncorrected (eV per atom) = -0.408
- DOS at the Fermi energy (states/eV/cell) = 3.2

(7)
The following is a DFT calculation (GGA-PBEsol) of an optimized crystal structure of LiCa2Sb.

Structure (POSCAR):
```
LiCa2Sb
1.0
4.5884 0.0000 0.0000
0.0000 4.5884 0.0000
0.0000 0.0000 10.4408
Li Ca Sb
2 4 2
Direct
0.0000 0.0000 0.0000
0.5000 0.5000 0.5000
0.0000 0.0000 0.5000
0.0000 0.5000 0.7500
0.5000 0.0000 0.2500
0.5000 0.5000 0.0000
0.0000 0.5000 0.2500
0.5000 0.0000 0.7500
```

Properties
- E_tot (eV/atom) = -3.149
- energy relative to the elements, uncorrected (eV per atom) = -0.451
- DOS at the Fermi energy (states/eV/cell) = 6.1

(8)
The following is a DFT calculation (GGA-PBEsol) of an optimized crystal structure of Li3CaSb.

Structure (POSCAR):
```
Li3CaSb
1.0
5.1266 0.0000 0.0000
0.0000 5.1266 0.0000
0.0000 0.0000 5.1266
Li Ca Sb
3 1 1
Direct
0.0000 0.0000 0.5000
0.0000 0.5000 0.0000
0.5000 0.0000 0.0000
0.5000 0.5000 0.5000
0.0000 0.0000 0.0000
```

Properties
- E_tot (eV/atom) = -2.736
- energy relative to the elements, uncorrected (eV per atom) = -0.218
- DOS at the Fermi energy (states/eV/cell) = 2.4

(9)
The following is a DFT calculation (GGA-PBEsol) of an optimized crystal structure of LiCa2Sb.

Structure (POSCAR):
```
LiCa2Sb
1.0
4.9854 0.0000 0.0000
0.0000 4.9854 0.0000
0.0000 0.0000 4.3177
Li Ca Sb
1 2 1
Direct
0.0000 0.0000 0.0000
0.0000 0.5000 0.5000
0.5000 0.0000 0.5000
0.5000 0.5000 0.0000
```

Properties
- E_tot (eV/atom) = -3.341
- energy relative to the elements, uncorrected (eV per atom) = -0.644
- DOS at the Fermi energy (states/eV/cell) = 1.3

(10)
The following is a DFT calculation (GGA-PBEsol) of an optimized crystal structure of LiCaSb.

Structure (POSCAR):
```
LiCaSb
1.0
7.5657 0.0000 0.0000
0.0000 4.6004 0.0000
0.0000 0.0000 8.2185
Li Ca Sb
4 4 4
Direct
0.1530 0.2500 0.0728
0.3471 0.7500 0.5728
0.6530 0.2500 0.4272
0.8470 0.7500 0.9272
0.0086 0.2500 0.7031
0.4914 0.7500 0.2031
0.5086 0.2500 0.7969
0.9914 0.7500 0.2969
0.2304 0.7500 0.9008
0.2696 0.2500 0.4008
0.7304 0.7500 0.5992
0.7696 0.2500 0.0992
```

Properties
- E_tot (eV/atom) = -3.855
- energy relative to the elements, uncorrected (eV per atom) = -0.969

(11)
The following is a DFT calculation (GGA-PBEsol) of an optimized crystal structure of LiCa2Sb.

Structure (POSCAR):
```
LiCa2Sb
1.0
4.5441 0.0000 0.0000
0.0000 4.3736 0.0000
0.0000 0.0000 11.5523
Li Ca Sb
2 4 2
Direct
0.0000 0.0000 0.0000
0.0000 0.5000 0.5000
0.0000 0.0000 0.7007
0.0000 0.5000 0.2007
0.5000 0.0000 0.4160
0.5000 0.5000 0.9160
0.5000 0.0000 0.1325
0.5000 0.5000 0.6325
```

Properties
- E_tot (eV/atom) = -3.329
- energy relative to the elements, uncorrected (eV per atom) = -0.631
- DOS at the Fermi energy (states/eV/cell) = 3.2

(12)
The following is a DFT calculation (GGA-PBEsol) of an optimized crystal structure of Li2CaSb.

Structure (POSCAR):
```
Li2CaSb
1.0
4.5181 0.0000 0.0000
0.0000 4.5181 0.0000
0.0000 0.0000 8.9450
Li Ca Sb
4 2 2
Direct
0.0000 0.5000 0.2500
0.0000 0.5000 0.7500
0.5000 0.0000 0.2500
0.5000 0.0000 0.7500
0.0000 0.0000 0.0000
0.5000 0.5000 0.5000
0.0000 0.0000 0.5000
0.5000 0.5000 0.0000
```

Properties
- E_tot (eV/atom) = -3.143
- energy relative to the elements, uncorrected (eV per atom) = -0.487
- DOS at the Fermi energy (states/eV/cell) = 5.4

(13)
The following is a DFT calculation (GGA-PBEsol) of an optimized crystal structure of Li2CaSb.

Structure (POSCAR):
```
Li2CaSb
1.0
5.0296 0.0000 0.0000
0.0000 5.0340 0.0000
0.0000 0.0000 7.1025
Li Ca Sb
4 2 2
Direct
0.0000 0.0000 0.0000
0.0000 0.5000 0.2499
0.5000 0.0000 0.7499
0.5000 0.5000 0.5000
0.0000 0.0000 0.4995
0.5000 0.5000 0.9995
0.0000 0.5000 0.7491
0.5000 0.0000 0.2491
```

Properties
- E_tot (eV/atom) = -3.186
- energy relative to the elements, uncorrected (eV per atom) = -0.530
- DOS at the Fermi energy (states/eV/cell) = 3.9

(14)
The following is a DFT calculation (GGA-PBEsol) of an optimized crystal structure of LiCaSb4.

Structure (POSCAR):
```
LiCaSb4
1.0
0.0000 4.4272 4.4272
4.4272 0.0000 4.4272
4.4272 4.4272 0.0000
Li Ca Sb
1 1 4
Direct
0.0000 0.0000 0.0000
0.2500 0.2500 0.2500
0.1237 0.6254 0.6254
0.6254 0.1237 0.6254
0.6254 0.6254 0.1237
0.6254 0.6254 0.6254
```

Properties
- E_tot (eV/atom) = -3.918
- energy relative to the elements, uncorrected (eV per atom) = -0.197
- DOS at the Fermi energy (states/eV/cell) = 4.2

(15)
The following is a DFT calculation (GGA-PBEsol) of an optimized crystal structure of LiCaZnSb2.

Structure (POSCAR):
```
LiCaZnSb2
1.0
5.6149 0.0000 0.0000
0.0000 5.6149 0.0000
0.0000 0.0000 5.6708
Li Ca Zn Sb
1 1 1 2
Direct
0.0000 0.0000 0.0000
0.0000 0.0000 0.5000
0.5000 0.5000 0.0000
0.0000 0.5000 0.5000
0.5000 0.0000 0.5000
```

Properties
- E_tot (eV/atom) = -2.332
- energy relative to the elements, uncorrected (eV per atom) = 0.627
- DOS at the Fermi energy (states/eV/cell) = 3.0

(16)
The following is a DFT calculation (GGA-PBEsol) of an optimized crystal structure of LiCaSc2.

Structure (POSCAR):
```
LiCaSc2
1.0
7.4110 0.0000 0.0000
0.0000 7.4110 0.0000
0.0000 0.0000 7.4110
Li Ca Sc
4 4 8
Direct
0.0000 0.0000 0.0000
0.0000 0.5000 0.5000
0.5000 0.0000 0.5000
0.5000 0.5000 0.0000
0.0000 0.0000 0.5000
0.0000 0.5000 0.0000
0.5000 0.0000 0.0000
0.5000 0.5000 0.5000
0.2500 0.2500 0.2500
0.2500 0.2500 0.7500
0.2500 0.7500 0.2500
0.2500 0.7500 0.7500
0.7500 0.2500 0.2500
0.7500 0.2500 0.7500
0.7500 0.7500 0.2500
0.7500 0.7500 0.7500
```

Properties
- E_tot (eV/atom) = -3.976
- polymorph energy (0 for the lowest one) (eV/atom) = 0.120
- DOS at the Fermi energy (states/eV/cell) = 21.4

(17)
The following is a DFT calculation (GGA-PBEsol) of an optimized crystal structure of LiCaSc2.

Structure (POSCAR):
```
LiCaSc2
1.0
7.4579 0.0000 0.0000
0.0000 7.4579 0.0000
0.0000 0.0000 7.4579
Li Ca Sc
4 4 8
Direct
0.0000 0.0000 0.0000
0.0000 0.5000 0.5000
0.5000 0.0000 0.5000
0.5000 0.5000 0.0000
0.2500 0.2500 0.2500
0.2500 0.7500 0.7500
0.7500 0.2500 0.7500
0.7500 0.7500 0.2500
0.0000 0.0000 0.5000
0.0000 0.5000 0.0000
0.2500 0.2500 0.7500
0.2500 0.7500 0.2500
0.5000 0.0000 0.0000
0.5000 0.5000 0.5000
0.7500 0.2500 0.2500
0.7500 0.7500 0.7500
```

Properties
- E_tot (eV/atom) = -4.027
- polymorph energy (0 for the lowest one) (eV/atom) = 0.069
- DOS at the Fermi energy (states/eV/cell) = 20.5

(18)
The following is a DFT calculation (GGA-PBEsol) of an optimized crystal structure of LiCaSc2.

Structure (POSCAR):
```
LiCaSc2
1.0
3.5647 0.0000 0.0000
0.0000 5.1959 0.0000
0.0000 0.0000 5.5899
Li Ca Sc
1 1 2
Direct
0.0000 0.0000 0.0000
0.5000 0.5000 0.0000
0.0000 0.5000 0.5000
0.5000 0.0000 0.5000
```

Properties
- E_tot (eV/atom) = -4.096
- polymorph energy (0 for the lowest one) (eV/atom) = 0.000
- DOS at the Fermi energy (states/eV/cell) = 5.9

(19)
The following is a DFT calculation (GGA-PBEsol) of an optimized crystal structure of Li2CaSc.

Structure (POSCAR):
```
Li2CaSc
1.0
3.3727 0.0000 0.0000
-1.6864 2.9209 0.0000
0.0000 0.0000 32.2295
Li Ca Sc
6 3 3
Direct
0.0000 0.0000 0.2447
0.0000 0.0000 0.7553
0.3333 0.6667 0.4219
0.3333 0.6667 0.9114
0.6667 0.3333 0.0886
0.6667 0.3333 0.5781
0.0000 0.0000 0.0000
0.3333 0.6667 0.6667
0.6667 0.3333 0.3333
0.0000 0.0000 0.5000
0.3333 0.6667 0.1667
0.6667 0.3333 0.8333
```

Properties
- E_tot (eV/atom) = -2.930
- DOS at the Fermi energy (states/eV/cell) = 14.0

(20)
The following is a DFT calculation (GGA-PBEsol) of an optimized crystal structure of Li2CaScTa.

Structure (POSCAR):
```
Li2CaScTa
1.0
4.5883 0.0000 0.0000
0.0000 4.5883 0.0000
0.0000 0.0000 5.1039
Li Ca Sc Ta
2 1 1 1
Direct
0.0000 0.5000 0.0000
0.5000 0.0000 0.0000
0.0000 0.0000 0.0000
0.5000 0.5000 0.5000
0.0000 0.0000 0.5000
```

Properties
- E_tot (eV/atom) = -3.747
- DOS at the Fermi energy (states/eV/cell) = 5.0

Mass density, respectively: 3.4; 4.2; 2.1; 2.5; 3.1; 2.5; 3.2; 2.3; 3.2; 3.9; 3.0; 3.2; 3.2; 5.1; 3.3; 2.2; 2.2; 2.2; 1.6; 4.3 g cm⁻³.